Here is a relaxed structure of IrPbNO from OQMD via LeMat-Bulk. Energies are from PBE.

a = 3.7189 Å, b = 6.1453 Å, c = 5.4199 Å
α = 90.00°, β = 90.00°, γ = 90.00°
Positions (direct):
Ir: 0.0000 0.1193 0.0000
Ir: 0.0000 0.8807 0.5000
Pb: 0.5000 0.3279 0.4819
Pb: 0.5000 0.6721 0.9819
N: 0.5000 0.1154 0.0095
N: 0.5000 0.8846 0.5095
O: 0.0000 0.3794 0.7723
O: 0.0000 0.6206 0.2723

Results
The calculation puts the calculated volume at 15.483 Å³ per atom. The value obtained for the energy above the most stable polymorph in this dataset is 0 meV per atom. The value obtained for the total energy is -6.450 eV/atom. As for the calculated density: 11.51 g/cm3.